No. 1
PuZrZnIn | PBE | relaxed

abc: 5.061 5.061 5.061
angles: 60.00 60.00 60.00
Site moments in Bohr magnetons follow the coordinates.
Atoms (fractional coordinates):
Zn1 0.500 0.500 0.500  0.02
Zr1 0.750 0.750 0.750  0.37
Pu1 0.250 0.250 0.250  5.32
In1 0.000 0.000 0.000  -0.03

No. 2
PuZr5In3 | PBE | relaxed

abc: 6.057 8.868 8.868
angles: 120.00 90.00 90.00
Site moments in Bohr magnetons follow the coordinates.
Atoms (fractional coordinates):
In1 0.750 0.349 0.349  -0.02
In2 0.750 0.651 0.000  -0.02
In3 0.250 0.651 0.651  -0.02
In4 0.750 0.000 0.651  -0.02
In5 0.250 0.000 0.349  -0.02
In6 0.250 0.349 0.000  -0.02
Zr1 0.250 0.000 0.679  0.05
Zr2 0.000 0.333 0.667  -0.07
Zr3 0.250 0.321 0.321  0.05
Zr4 0.500 0.667 0.333  -0.07
Zr5 0.750 0.000 0.321  0.05
Zr6 0.000 0.667 0.333  -0.07
Zr7 0.500 0.333 0.667  -0.07
Zr8 0.750 0.679 0.679  0.05
Zr9 0.250 0.679 0.000  0.05
Zr10 0.750 0.321 0.000  0.05
Pu1 0.500 0.000 0.000  5.43
Pu2 0.000 0.000 0.000  5.43

No. 3
PuZr6In5 | PBE | relaxed

abc: 5.319 6.565 8.436
angles: 112.90 95.51 90.00
Site moments in Bohr magnetons follow the coordinates.
Atoms (fractional coordinates):
Zr1 0.857 0.083 0.672  -0.01
Zr2 0.857 0.588 0.672  -0.01
Zr3 0.143 0.412 0.328  -0.01
Zr4 0.500 0.247 0.000  0.00
Zr5 0.143 0.917 0.328  -0.01
Zr6 0.500 0.753 0.000  0.00
In1 0.351 0.833 0.666  -0.01
In2 0.000 0.500 0.000  -0.03
In3 0.648 0.670 0.341  0.00
In4 0.649 0.167 0.334  -0.01
In5 0.352 0.330 0.659  0.00
Pu1 0.000 0.000 0.000  5.24

No. 4
PuZrIn6 | PBE | relaxed

abc: 4.568 4.568 9.164
angles: 90.00 90.00 90.00
Site moments in Bohr magnetons follow the coordinates.
Atoms (fractional coordinates):
Zr1 0.000 0.000 0.500  -0.02
In1 0.500 0.000 0.745  0.00
In2 0.500 0.000 0.255  0.00
In3 0.000 0.500 0.745  0.00
In4 0.500 0.500 0.500  0.00
In5 0.500 0.500 0.000  0.02
In6 0.000 0.500 0.255  0.00
Pu1 0.000 0.000 0.000  5.34

| no. | formation energy (eV/atom) | calculated volume (Å³/atom) | N(E_F) (states/eV/cell) |
| --- | --- | --- | --- |
| 1 | -0.049 | 22.92 | 10.01 |
| 2 | -0.211 | 22.92 | 21.79 |
| 3 | -0.227 | 22.49 | 11.84 |
| 4 | -0.226 | 23.90 | 13.05 |